This record from Alexandria via LeMat-Bulk describes EuScHgPb after structural relaxation. The functional is PBE.

a = 5.325 Å, b = 5.325 Å, c = 5.325 Å
α = 60.00°, β = 60.00°, γ = 60.00°
Sites, in units of the cell vectors:
1 Eu 0.000 0.000 0.000
2 Sc 0.500 0.500 0.500
3 Hg 0.250 0.250 0.250
4 Pb 0.750 0.750 0.750

DFT total energy: -22.29 eV per formula unit
Total moment: 7.7 μB per formula unit
DFT formation energy: -418 meV per atom